Record 1
PBE-GGA ZnFePbW, optimized geometry; E_tot = -5.703 eV per atom
1.0
0.0000 3.1949 3.1949
3.1949 0.0000 3.1949
3.1949 3.1949 0.0000
Zn Fe Pb W
1 1 1 1
Direct
0.0000 0.0000 0.0000 Zn
0.5000 0.5000 0.5000 Fe
0.2500 0.2500 0.2500 Pb
0.7500 0.7500 0.7500 W

Record 2
PBE-GGA ZrFePbW, optimized geometry; E_tot = -7.804 eV per atom
1.0
0.0000 3.2977 3.2977
3.2977 0.0000 3.2977
3.2977 3.2977 0.0000
Zr Fe Pb W
1 1 1 1
Direct
0.0000 0.0000 0.0000 Zr
0.7500 0.7500 0.7500 Fe
0.5000 0.5000 0.5000 Pb
0.2500 0.2500 0.2500 W